Record 1
First-principles (PBEsol) data for BaCd2Cu after structural relaxation, as listed in Alexandria via LeMat-Bulk.

Unit cell a=3.5590 b=3.5590 c=7.6730 alpha=90.00 beta=90.00 gamma=90.00
Space group P4mm (No. 99)
One atom of each set of equivalent atoms:
Ba: 0.0000 0.0000 0.0000 [1 per cell]
Cd: 0.0000 0.0000 0.5563 [1 per cell]
Cd: 0.5000 0.5000 0.3308 [1 per cell]
Cu: 0.5000 0.5000 0.6993 [1 per cell]

Crystal system   tetragonal
Formation energy from the elements   0.07 eV per formula unit
Calculated total energy   -2.20 eV/atom
ρ   7.27 g/cm3

Record 2
First-principles (PBEsol) data for BaCd2Cu after structural relaxation, as listed in Alexandria via LeMat-Bulk.

Unit cell a=4.4645 b=4.4645 c=5.3128 alpha=90.00 beta=90.00 gamma=90.00
Space group P4/mmm (No. 123)
One atom of each set of equivalent atoms:
Ba: 0.0000 0.0000 0.0000 [1 per cell]
Cd: 0.0000 0.5000 0.5000 [2 per cell]
Cu: 0.5000 0.5000 0.0000 [1 per cell]

Crystal system   tetragonal
Formation energy from the elements   0.51 eV per formula unit
Calculated total energy   -2.09 eV/atom
ρ   6.68 g/cm3

Record 3
First-principles (PBEsol) data for BaCd2Cu after structural relaxation, as listed in Alexandria via LeMat-Bulk.

Unit cell a=3.5882 b=5.5418 c=10.0696 alpha=90.00 beta=90.00 gamma=90.00
Space group Immm (No. 71)
One atom of each set of equivalent atoms:
Ba: 0.0000 0.0000 0.0000 [2 per cell]
Cd: 0.0000 0.5000 0.2020 [4 per cell]
Cu: 0.0000 0.0000 0.5000 [2 per cell]

Crystal system   orthorhombic
Formation energy from the elements   0.08 eV per formula unit
Calculated total energy   -2.20 eV/atom
ρ   7.06 g/cm3

Record 4
First-principles (PBEsol) data for BaCd3Cu after structural relaxation, as listed in Alexandria via LeMat-Bulk.

Unit cell a=5.0562 b=5.0562 c=5.0562 alpha=90.00 beta=90.00 gamma=90.00
Space group Pm-3m (No. 221)
One atom of each set of equivalent atoms:
Ba: 0.0000 0.0000 0.0000 [1 per cell]
Cd: 0.0000 0.5000 0.5000 [3 per cell]
Cu: 0.5000 0.5000 0.5000 [1 per cell]

Crystal system   cubic
Formation energy from the elements   -0.53 eV per formula unit
Calculated total energy   -2.12 eV/atom
ρ   6.91 g/cm3

Which formula does entry 4 have?
BaCd3Cu

formation energy from the elements of number 4 (BaCd3Cu)?
-0.53 eV per formula unit

Which value of ρ does entry 1 give?
7.27 g/cm3

Please write out number 4 again, unchanged.
First-principles (PBEsol) data for BaCd3Cu after structural relaxation, as listed in Alexandria via LeMat-Bulk.

Unit cell a=5.0562 b=5.0562 c=5.0562 alpha=90.00 beta=90.00 gamma=90.00
Space group Pm-3m (No. 221)
One atom of each set of equivalent atoms:
Ba: 0.0000 0.0000 0.0000 [1 per cell]
Cd: 0.0000 0.5000 0.5000 [3 per cell]
Cu: 0.5000 0.5000 0.5000 [1 per cell]

Crystal system   cubic
Formation energy from the elements   -0.53 eV per formula unit
Calculated total energy   -2.12 eV/atom
ρ   6.91 g/cm3